[1]
LiTcPt: optimized geometry, PBE.

```
6
Lattice="8.965 0.000 -0.003 3.603 1.943 -2.508 -3.603 1.943 2.508" Properties=species:S:1:pos:R:3 pbc="T T T"
Tc 8.243 1.943 -0.178
Tc 4.215 1.943 -2.019
Pt 7.065 1.943 -2.451
Pt 1.761 1.943 -1.049
Li 2.539 1.943 1.533
Li 5.345 1.943 0.449
```

- space-group type = Cm (8)
- ΔE_f (eV/atom) = -0.18
- distance to the lowest polymorph of the same formula (eV/atom) = 0.0610

[2]
Pm2SnPb: optimized geometry, PBE.

```
4
Lattice="4.544 0.000 0.000 0.000 5.043 0.000 0.000 0.000 5.043" Properties=species:S:1:pos:R:3 pbc="T T T"
Pb 2.272 0.000 0.000
Sn 2.272 2.521 2.521
Pm 0.000 0.000 2.521
Pm 0.000 2.521 0.000
```

- space-group type = P4/mmm (123)
- ΔE_f (eV/atom) = -0.58
- distance to the lowest polymorph of the same formula (eV/atom) = 0.0850

[3]
Nd5Ge2Au2: optimized geometry, PBE.

```
18
Lattice="-3.886 -6.266 2.901 5.809 -4.740 -2.456 1.732 -2.211 8.363" Properties=species:S:1:pos:R:3 pbc="T T T"
Nd 0.000 0.000 0.000
Nd 0.961 -5.503 0.223
Nd 0.459 -5.287 7.013
Nd 2.934 -10.641 6.411
Nd 3.934 -6.738 5.359
Nd -0.540 -9.191 8.065
Nd 3.195 -7.930 1.796
Nd 0.720 -2.576 2.398
Nd -0.279 -6.479 3.450
Nd 4.195 -4.027 0.744
Ge 1.692 -2.555 -0.559
Ge 0.231 -8.451 1.004
Ge 3.621 -6.498 -1.058
Ge -1.698 -4.508 1.504
Au 0.218 -2.591 5.516
Au 1.179 -8.094 5.738
Au -2.372 -5.887 5.749
Au 2.475 -5.123 3.071
```

- space-group type = Cmce (64)
- ΔE_f (eV/atom) = -0.74

[4]
MgNbCl: optimized geometry, PBE.

```
6
Lattice="3.550 0.000 0.000 0.000 3.551 0.000 -0.062 0.000 10.259" Properties=species:S:1:pos:R:3 pbc="T T T"
Mg 0.892 0.888 2.306
Mg 2.597 2.663 7.953
Nb 0.824 0.888 9.684
Nb 2.664 2.663 0.576
Cl 0.848 0.888 6.772
Cl 2.640 2.663 3.488
```

- space-group type = P2_1/m (11)
- formation energy (no corrections) (eV per atom) = -0.587
- distance to the lowest polymorph of the same formula (eV/atom) = 0.0257

[5]
Cr3NiAu: optimized geometry, PBE.

```
5
Lattice="4.235 0.000 0.000 0.000 4.235 0.000 0.000 0.000 4.235" Properties=species:S:1:pos:R:3 pbc="T T T"
Ni 0.000 0.000 0.000
Au 2.118 2.118 2.118
Cr 0.000 2.118 0.000
Cr 0.000 0.000 2.118
Cr 2.118 0.000 0.000
```

- space-group type = Pm-3m (221)
- ΔE_f (eV/atom) = 1.27
- distance to the lowest polymorph of the same formula (eV/atom) = 0.0000

[6]
Y2FeAg: optimized geometry, PBE.

```
4
Lattice="5.789 -0.001 0.000 2.677 5.133 0.000 -4.233 -2.566 3.002" Properties=species:S:1:pos:R:3 pbc="T T T"
Ag 4.233 2.566 0.000
Fe 2.895 -0.001 1.501
Y 0.000 0.000 0.000
Y 1.339 2.566 1.501
```

- space-group type = I-4m2 (119)
- ΔE_f (eV/atom) = 0.15

Copy entry 2 word for word.
Pm2SnPb: optimized geometry, PBE.

```
4
Lattice="4.544 0.000 0.000 0.000 5.043 0.000 0.000 0.000 5.043" Properties=species:S:1:pos:R:3 pbc="T T T"
Pb 2.272 0.000 0.000
Sn 2.272 2.521 2.521
Pm 0.000 0.000 2.521
Pm 0.000 2.521 0.000
```

- space-group type = P4/mmm (123)
- ΔE_f (eV/atom) = -0.58
- distance to the lowest polymorph of the same formula (eV/atom) = 0.0850